PBE+U RbCo2PdF8, relaxed; space-group type = P-1, No. 2; magnetization = 7.0 μB/f.u.; D(E_F) = 0.0 states/eV/cell; E_tot = -4.460 eV/atom; density = 4.4 g/cm³
1.0
5.126 0.000 0.000
0.354 5.117 0.000
0.011 0.012 6.695
Rb Co Pd F
1 2 1 8
direct
0.000 0.000 0.000 Rb
0.500 0.500 0.255 Co
0.500 0.500 0.745 Co
0.000 0.000 0.500 Pd
0.171 0.741 0.695 F
0.172 0.742 0.305 F
0.350 0.290 0.500 F
0.399 0.297 0.000 F
0.601 0.703 0.000 F
0.650 0.710 0.500 F
0.828 0.258 0.695 F
0.829 0.259 0.305 F